Material: La4PrZn
Method: DFT, PBE
State: relaxed

Cell lengths 3.7528, 3.7528, 14.1851 Å; angles 90.00, 90.00, 90.00 degrees
Element x y z (fractional)
La 0.0000 0.0000 0.1315
La 0.0000 0.0000 0.8685
La 0.5000 0.5000 0.3160
La 0.5000 0.5000 0.6840
Pr 0.0000 0.0000 0.5000
Zn 0.5000 0.5000 0.0000

Calculated formation energy, kJ per mole of atoms: -9.8
M_tot, μB/atom: 0.000
N(E_F), states/eV per cell: 8.55
Total DFT energy (no corrections), hartree per atom: -0.162
Volume, A^3/atom: 33.30

***

Material: CdNi2Pd2
Method: DFT, PBE
State: relaxed

Cell lengths 6.0876, 6.0876, 6.0876 Å; angles 143.26, 143.26, 52.93 degrees
Element x y z (fractional)
Cd 0.0000 0.0000 0.0000
Ni 0.3997 0.3997 0.0000
Ni 0.6003 0.6003 0.0000
Pd 0.2500 0.7500 0.5000
Pd 0.7500 0.2500 0.5000

Calculated formation energy, kJ per mole of atoms: 19.7
M_tot, μB/atom: 0.364
N(E_F), states/eV per cell: 6.72
Total DFT energy (no corrections), hartree per atom: -0.161
Volume, A^3/atom: 16.04

***

Material: Ba6IrPd2I3
Method: DFT, PBE
State: relaxed

Cell lengths 8.0716, 8.0716, 9.0542 Å; angles 98.54, 98.54, 119.98 degrees
Element x y z (fractional)
Ba 0.0669 0.3862 0.2006
Ba 0.2522 0.2522 0.7985
Ba 0.3862 0.0669 0.2006
Ba 0.6138 0.9331 0.7994
Ba 0.7478 0.7478 0.2015
Ba 0.9331 0.6138 0.7994
Ir 0.0000 0.0000 0.0000
Pd 0.3336 0.6664 0.0000
Pd 0.6664 0.3336 0.0000
I 0.1683 0.8317 0.5000
I 0.5000 0.5000 0.5000
I 0.8317 0.1683 0.5000

M_tot, μB/atom: 0.000
N(E_F), states/eV per cell: 7.13
Total DFT energy (no corrections), hartree per atom: -0.142
Volume, A^3/atom: 40.66
Uncorrected formation energy, eV/atom: -0.923

***

Material: Cu2ReCl
Method: DFT, PBE
State: relaxed

Cell lengths 2.8252, 2.8252, 8.5804 Å; angles 90.00, 90.00, 120.58 degrees
Element x y z (fractional)
Cu 0.0000 0.0000 0.0000
Cu 0.5000 0.5000 0.2349
Re 0.0000 0.0000 0.4890
Cl 0.5000 0.5000 0.7318

M_tot, μB/atom: 0.000
N(E_F), states/eV per cell: 3.05
Total DFT energy (no corrections), hartree per atom: -0.186
Volume, A^3/atom: 14.74
Uncorrected formation energy, eV/atom: 0.560

***

Material: Zr3Te6Pd
Method: DFT, PBE
State: relaxed

Cell lengths 9.0423, 9.0423, 6.9161 Å; angles 90.00, 90.00, 99.97 degrees
Element x y z (fractional)
Zr 0.1064 0.8936 0.5000
Zr 0.2310 0.4293 0.3797
Zr 0.4293 0.2310 0.8797
Zr 0.5707 0.7690 0.3797
Zr 0.7690 0.5707 0.8797
Zr 0.8936 0.1064 0.0000
Te 0.0306 0.5861 0.6233
Te 0.1283 0.1997 0.6894
Te 0.1997 0.1283 0.1894
Te 0.2701 0.7299 0.2048
Te 0.4139 0.9694 0.6233
Te 0.4559 0.5441 0.7068
Te 0.5441 0.4559 0.2068
Te 0.5861 0.0306 0.1233
Te 0.7299 0.2701 0.7048
Te 0.8003 0.8717 0.6894
Te 0.8717 0.8003 0.1894
Te 0.9694 0.4139 0.1233
Pd 0.2625 0.7375 0.8084
Pd 0.7375 0.2625 0.3084

M_tot, μB/atom: 0.000
N(E_F), states/eV per cell: 3.08
Total DFT energy (no corrections), hartree per atom: -0.208
Volume, A^3/atom: 27.85
Uncorrected formation energy, eV/atom: -0.689

***

Material: Ca2YInO
Method: DFT, PBE
State: relaxed

Cell lengths 4.8247, 4.8247, 4.8868 Å; angles 90.00, 90.00, 90.00 degrees
Element x y z (fractional)
Ca 0.0000 0.5000 0.0000
Ca 0.5000 0.0000 0.0000
Y 0.0000 0.0000 0.5000
In 0.5000 0.5000 0.5000
O 0.0000 0.0000 0.0000

M_tot, μB/atom: 0.000
N(E_F), states/eV per cell: 1.03
Total DFT energy (no corrections), hartree per atom: -0.186
Volume, A^3/atom: 22.75
Uncorrected formation energy, eV/atom: -1.434

***

Material: AlOs3Au
Method: DFT, PBE
State: relaxed

Cell lengths 4.8379, 4.8379, 4.8379 Å; angles 90.00, 90.00, 90.00 degrees
Element x y z (fractional)
Al 0.0000 0.0000 0.0000
Os 0.0000 0.5000 0.5000
Os 0.5000 0.0000 0.5000
Os 0.5000 0.5000 0.0000
Au 0.5000 0.5000 0.5000

Calculated formation energy, kJ per mole of atoms: 274.4
M_tot, μB/atom: 0.994
N(E_F), states/eV per cell: 5.35
Total DFT energy (no corrections), hartree per atom: -0.195
Volume, A^3/atom: 22.65

***

Material: CsHgBiI2
Method: DFT, PBE
State: relaxed

Cell lengths 6.5179, 6.5179, 5.9472 Å; angles 90.00, 90.00, 90.00 degrees
Element x y z (fractional)
Cs 0.0000 0.0000 0.0000
Hg 0.5000 0.5000 0.0000
Bi 0.5000 0.5000 0.5000
I 0.0000 0.5000 0.5000
I 0.5000 0.0000 0.5000

M_tot, μB/atom: 0.000
N(E_F), states/eV per cell: 2.04
Total DFT energy (no corrections), hartree per atom: -0.082
Volume, A^3/atom: 50.53
Uncorrected formation energy, eV/atom: -0.591

***

Material: HgB2Te
Method: DFT, PBE
State: relaxed

Cell lengths 4.5713, 4.5713, 4.5713 Å; angles 60.00, 60.00, 60.00 degrees
Element x y z (fractional)
Hg 0.0000 0.0000 0.0000
B 0.2500 0.2500 0.2500
B 0.7500 0.7500 0.7500
Te 0.5000 0.5000 0.5000

M_tot, μB/atom: 0.000
N(E_F), states/eV per cell: 1.83
Total DFT energy (no corrections), hartree per atom: -0.090
Volume, A^3/atom: 16.89
Uncorrected formation energy, eV/atom: 1.740

***

Material: Sn2SeF2
Method: DFT, PBE
State: relaxed

Cell lengths 4.6786, 3.9785, 12.4076 Å; angles 90.00, 100.20, 90.00 degrees
Element x y z (fractional)
Sn 0.1944 0.2500 0.1259
Sn 0.2158 0.2500 0.6304
Sn 0.7842 0.7500 0.3696
Sn 0.8056 0.7500 0.8741
Se 0.2058 0.2500 0.4006
Se 0.7942 0.7500 0.5994
F 0.0012 0.2500 0.8225
F 0.2087 0.7500 0.9841
F 0.7913 0.2500 0.0159
F 0.9988 0.7500 0.1775

M_tot, μB/atom: 0.000
Total DFT energy (no corrections), hartree per atom: -0.166
Volume, A^3/atom: 22.73
Uncorrected formation energy, eV/atom: -1.484

***

Material: AgC2
Method: DFT, PBE
State: relaxed

Cell lengths 5.1415, 5.1415, 6.3667 Å; angles 90.00, 90.00, 120.00 degrees
Element x y z (fractional)
Ag 0.3333 0.6667 0.0434
Ag 0.3333 0.6667 0.4566
Ag 0.6667 0.3333 0.5434
Ag 0.6667 0.3333 0.9566
C 0.0000 0.0000 0.0000
C 0.0000 0.0000 0.5000
C 0.1001 0.2001 0.2500
C 0.1001 0.8999 0.2500
C 0.2001 0.1001 0.7500
C 0.7999 0.8999 0.2500
C 0.8999 0.1001 0.7500
C 0.8999 0.7999 0.7500

Calculated formation energy, kJ per mole of atoms: 215.9
M_tot, μB/atom: 0.000
N(E_F), states/eV per cell: 6.80
Total DFT energy (no corrections), hartree per atom: -0.179
Volume, A^3/atom: 12.15

***

Material: RbLiAl2
Method: DFT, PBE
State: relaxed

Cell lengths 5.3930, 5.3930, 5.3930 Å; angles 60.00, 60.00, 60.00 degrees
Element x y z (fractional)
Rb 0.0000 0.0000 0.0000
Li 0.5000 0.5000 0.5000
Al 0.2500 0.2500 0.2500
Al 0.7500 0.7500 0.7500

Calculated formation energy, kJ per mole of atoms: 54.5
M_tot, μB/atom: 0.000
N(E_F), states/eV per cell: 3.44
Total DFT energy (no corrections), hartree per atom: -0.075
Volume, A^3/atom: 27.73